[1]
A plane-wave DFT calculation with PBE was carried out for CsFeCuOs after structural relaxation.

Computed properties:
* total DFT energy (no corrections): -4.30 eV/atom
* SG: F-43m
* relative energy among the computed polymorphs: 0.000 eV per atom

```
4
Lattice="0.000 3.341 3.341 3.341 0.000 3.341 3.341 3.341 0.000" Properties=species:S:1:pos:R:3 pbc="T T T"
Os 0.000 0.000 0.000
Fe 1.671 1.671 1.671
Cu 5.012 5.012 5.012
Cs 3.341 3.341 3.341
```

***

[2]
A plane-wave DFT calculation with PBE was carried out for CsFeCuOs after structural relaxation.

Computed properties:
* total DFT energy (no corrections): -4.26 eV/atom
* SG: F-43m
* relative energy among the computed polymorphs: 0.044 eV per atom

```
4
Lattice="-2.067 -3.612 2.227 -1.401 0.481 4.481 -4.603 0.183 1.027" Properties=species:S:1:pos:R:3 pbc="T T T"
Os -2.018 -0.737 1.934
Fe -4.036 -1.474 3.868
Cs 0.000 0.000 0.000
Cu -6.053 -2.210 5.802
```